# 1
La2NiN3: optimized geometry, PBE.

Unit cell a=6.8745 b=6.8745 c=6.8745 alpha=148.93 beta=148.24 gamma=45.02
Element x y z (fractional)
1 La 0.1474 0.1474 0.0000
2 La 0.8526 0.8526 0.0000
3 Ni 0.5000 0.5000 0.0000
4 N 0.0000 0.5000 0.5000
5 N 0.3401 0.3401 0.0000
6 N 0.6599 0.6599 0.0000

space group = No. 71
total magnetization = 0.175 μB per atom
electronic total energy = -45.5 eV/cell


# 2
La2NiN4: optimized geometry, PBE.

Unit cell a=6.1173 b=6.1173 c=3.8909 alpha=90.00 beta=90.00 gamma=90.00
Element x y z (fractional)
1 La 0.0000 0.5000 0.0000
2 La 0.5000 0.0000 0.0000
3 Ni 0.0000 0.0000 0.0000
4 N 0.1920 0.1920 0.1818
5 N 0.1920 0.8080 0.8182
6 N 0.8080 0.1920 0.8182
7 N 0.8080 0.8080 0.1818

space group = No. 111
total magnetization = 0.005 μB per atom
electronic total energy = -48.2 eV/cell


# 3
La5NpN6: optimized geometry, PBE.

Unit cell a=6.3293 b=6.3293 c=6.3076 alpha=99.58 beta=99.58 gamma=119.95
Element x y z (fractional)
1 La 0.0000 0.0000 0.0000
2 La 0.1663 0.8337 0.5000
3 La 0.3349 0.6651 0.0000
4 La 0.6651 0.3349 0.0000
5 La 0.8337 0.1663 0.5000
6 Np 0.5000 0.5000 0.5000
7 N 0.1409 0.4269 0.2826
8 N 0.2825 0.2825 0.7310
9 N 0.4269 0.1409 0.2826
10 N 0.5731 0.8591 0.7174
11 N 0.7175 0.7175 0.2690
12 N 0.8591 0.5731 0.7174

space group = No. 12
total magnetization = 0.123 μB per atom
electronic total energy = -103.4 eV/cell


# 4
LaPrOs2N2O2: optimized geometry, PBE.

Unit cell a=3.8611 b=3.8611 c=8.1025 alpha=90.00 beta=90.00 gamma=90.00
Element x y z (fractional)
1 La 0.0000 0.0000 0.0000
2 Pr 0.5000 0.5000 0.6821
3 Os 0.0000 0.5000 0.3434
4 Os 0.5000 0.0000 0.3434
5 N 0.0000 0.0000 0.4562
6 N 0.5000 0.5000 0.2295
7 O 0.0000 0.5000 0.8399
8 O 0.5000 0.0000 0.8399

space group = No. 99
total magnetization = 0.000 μB per atom
electronic total energy = -68.2 eV/cell